16
Lattice="5.264 0.009 -0.001 -0.234 5.258 -0.001 -0.141 -0.148 6.333" Properties=species:S:1:pos:R:3 comment="Li5MnSi2O8 PBE+U relaxed" dft_energy_ev_per_atom=-6.507 crystal_system=monoclinic m_tot_mub_per_fu=3.93 space_group="C2 (5)" pbc="T T T"
Mn 3.436 1.613 3.165
Si 0.808 0.764 4.820
Si 4.163 4.277 1.511
Li 1.505 3.598 -0.001
Li 0.941 0.888 1.546
O 3.423 3.550 2.836
O 3.497 3.711 0.151
O 1.343 1.455 6.179
Li 3.454 1.737 -0.001
O 4.110 0.703 1.636
Li 1.379 3.576 3.165
O 0.511 4.160 1.593
O 4.376 0.981 4.695
Li 4.044 4.139 4.785
O 0.756 4.416 4.738
O 1.500 1.536 3.495